No. 1
Density functional theory data (GGA-PBE) for a relaxed structure of CsRbNa2Ag.

Cell and atoms, written as extended XYZ:
```
5
Lattice="6.2138 0.0000 0.0000 0.0000 6.2138 0.0000 0.0000 0.0000 7.0001" Properties=species:S:1:pos:R:3 pbc="T T T"
Cs 0.0000 0.0000 0.0000
Rb 3.1069 3.1069 0.0000
Na 0.0000 3.1069 3.5000
Na 3.1069 0.0000 3.5000
Ag 0.0000 0.0000 3.5000
```

Calculated values
Fermi-level density of states = 2.21 states/eV/cell
ΔH_f (0 K) = 86 meV/atom
Crystal system = tetragonal
Relative energy among the computed polymorphs = 13.3 meV/atom
Total magnetization = 0.00 μB/f.u.
Space group = P4/mmm (123)

No. 2
Density functional theory data (GGA-PBE) for a relaxed structure of Cs2RbNaAg.

Cell and atoms, written as extended XYZ:
```
5
Lattice="7.8551 0.0000 0.0000 0.0000 7.8551 0.0000 0.0000 0.0000 5.7359" Properties=species:S:1:pos:R:3 pbc="T T T"
Cs 0.0000 3.9275 0.0000
Cs 3.9275 0.0000 0.0000
Rb 0.0000 0.0000 2.8680
Na 3.9275 3.9275 0.0000
Ag 3.9275 3.9275 2.8680
```

Calculated values
Fermi-level density of states = 5.13 states/eV/cell
ΔH_f (0 K) = 162 meV/atom
Crystal system = tetragonal
Relative energy among the computed polymorphs = 103.6 meV/atom
Total magnetization = 0.00 μB/f.u.
Space group = P4/mmm (123)